(1)
NpTcSb2: optimized geometry, PBE.

a = 6.541 Å, b = 3.852 Å, c = 7.518 Å
α = 90.00°, β = 106.10°, γ = 90.00°
Space group P2_1/m (No. 11)
Unique sites:
Np (0.078, 0.250, 0.284)
Tc (0.227, 0.250, 0.806)
Sb (0.322, 0.750, 0.080)
Sb (0.354, 0.750, 0.593)

- energy relative to the lowest polymorph listed for this composition (kJ per mole of atoms) = 0.0
- electronic total energy (Ry per atom) = -0.5817
- DOS(E_F) (states/eV per atom) = 1.909

---

(2)
NpTc2Sb: optimized geometry, PBE.

a = 6.624 Å, b = 6.624 Å, c = 6.624 Å
α = 90.00°, β = 90.00°, γ = 90.00°
Space group Fm-3m (No. 225)
Unique sites:
Np (0.000, 0.000, 0.000)
Tc (0.250, 0.250, 0.250)
Sb (0.000, 0.000, 0.500)

- energy relative to the lowest polymorph listed for this composition (kJ per mole of atoms) = 0.0
- electronic total energy (Ry per atom) = -0.6960
- DOS(E_F) (states/eV per atom) = 1.254

---

(3)
NpTcSb4: optimized geometry, PBE.

a = 6.292 Å, b = 8.391 Å, c = 6.056 Å
α = 90.00°, β = 108.28°, γ = 90.00°
Space group P2_1/c (No. 14)
Unique sites:
Np (0.000, 0.000, 0.000)
Tc (0.500, 0.000, 0.000)
Sb (0.171, 0.128, 0.581)
Sb (0.351, 0.725, 0.784)

- electronic total energy (Ry per atom) = -0.4753
- DOS(E_F) (states/eV per atom) = 1.687

---

(4)
NpVTcSb: optimized geometry, PBE.

a = 6.624 Å, b = 6.624 Å, c = 6.624 Å
α = 90.00°, β = 90.00°, γ = 90.00°
Space group F-43m (No. 216)
Unique sites:
Np (0.000, 0.000, 0.000)
V (0.250, 0.250, 0.250)
Tc (0.250, 0.250, 0.750)
Sb (0.000, 0.000, 0.500)

- electronic total energy (Ry per atom) = -0.6674
- DOS(E_F) (states/eV per atom) = 1.749

---

(5)
Np2SbTe: optimized geometry, PBE.

a = 8.809 Å, b = 8.806 Å, c = 7.630 Å
α = 90.00°, β = 125.23°, γ = 90.00°
Space group C2/c (No. 15)
Unique sites:
Np (0.249, 0.125, 0.248)
Sb (0.000, 0.125, 0.750)
Te (0.000, 0.375, 0.250)

- energy relative to the lowest polymorph listed for this composition (kJ per mole of atoms) = 0.0
- electronic total energy (Ry per atom) = -0.6382
- DOS(E_F) (states/eV per atom) = 4.913

---

(6)
NpSbTe2: optimized geometry, PBE.

a = 3.785 Å, b = 3.785 Å, c = 7.729 Å
α = 90.00°, β = 90.00°, γ = 90.00°
Space group P4/mmm (No. 123)
Unique sites:
Np (0.000, 0.000, 0.000)
Sb (0.000, 0.000, 0.500)
Te (0.500, 0.500, 0.223)

- energy relative to the lowest polymorph listed for this composition (kJ per mole of atoms) = 0.0
- electronic total energy (Ry per atom) = -0.4459
- DOS(E_F) (states/eV per atom) = 2.165

---

(7)
Np2SbTe: optimized geometry, PBE.

a = 4.4184 Å, b = 4.4184 Å, c = 21.4214 Å
α = 90.00°, β = 90.00°, γ = 120.00°
Space group R-3m (No. 166, hexagonal axes)
Unique sites:
Np (0.0000, 0.0000, 0.2488)
Sb (0.0000, 0.0000, 0.5000)
Te (0.0000, 0.0000, 0.0000)

- energy relative to the lowest polymorph listed for this composition (kJ per mole of atoms) = 0.2
- electronic total energy (Ry per atom) = -0.6381
- DOS(E_F) (states/eV per atom) = 4.929

---

(8)
Np2SbTe5: optimized geometry, PBE.

a = 8.640 Å, b = 13.286 Å, c = 4.270 Å
α = 90.00°, β = 90.00°, γ = 90.00°
Space group Pbam (No. 55)
Unique sites:
Np (0.030, 0.174, 0.000)
Sb (0.000, 0.500, 0.500)
Te (0.000, 0.000, 0.500)
Te (0.175, 0.390, 0.000)
Te (0.180, 0.698, 0.500)

- electronic total energy (Ry per atom) = -0.4530
- DOS(E_F) (states/eV per atom) = 2.471

---

(9)
NpSbTe2: optimized geometry, PBE.

a = 4.1176 Å, b = 4.1176 Å, c = 29.6939 Å
α = 90.00°, β = 90.00°, γ = 120.00°
Space group R-3m (No. 166, hexagonal axes)
Unique sites:
Np (0.0000, 0.0000, 0.0000)
Sb (0.0000, 0.0000, 0.5000)
Te (0.0000, 0.0000, 0.1026)

- energy relative to the lowest polymorph listed for this composition (kJ per mole of atoms) = 57.4
- electronic total energy (Ry per atom) = -0.4021
- DOS(E_F) (states/eV per atom) = 3.139

---

(10)
Np2SbTe: optimized geometry, PBE.

a = 4.2670 Å, b = 4.2670 Å, c = 23.2326 Å
α = 90.00°, β = 90.00°, γ = 120.00°
Space group R3m (No. 160, hexagonal axes)
Unique sites:
Np (0.0000, 0.0000, 0.0000)
Np (0.0000, 0.0000, 0.1719)
Sb (0.0000, 0.0000, 0.5875)
Te (0.0000, 0.0000, 0.4176)

- energy relative to the lowest polymorph listed for this composition (kJ per mole of atoms) = 7.2
- electronic total energy (Ry per atom) = -0.6328
- DOS(E_F) (states/eV per atom) = 4.924

---

(11)
Np2SbTe: optimized geometry, PBE.

a = 7.480 Å, b = 7.480 Å, c = 7.480 Å
α = 90.00°, β = 90.00°, γ = 90.00°
Space group Fm-3m (No. 225)
Unique sites:
Np (0.250, 0.250, 0.250)
Sb (0.000, 0.000, 0.000)
Te (0.000, 0.000, 0.500)

- energy relative to the lowest polymorph listed for this composition (kJ per mole of atoms) = 2.9
- electronic total energy (Ry per atom) = -0.6360
- DOS(E_F) (states/eV per atom) = 3.446

---

(12)
NpSb2Te: optimized geometry, PBE.

a = 4.292 Å, b = 4.292 Å, c = 6.001 Å
α = 90.00°, β = 90.00°, γ = 90.00°
Space group P4/mmm (No. 123)
Unique sites:
Np (0.000, 0.000, 0.000)
Sb (0.500, 0.500, 0.244)
Te (0.000, 0.000, 0.500)

- energy relative to the lowest polymorph listed for this composition (kJ per mole of atoms) = 0.0
- electronic total energy (Ry per atom) = -0.4568
- DOS(E_F) (states/eV per atom) = 2.766

---

(13)
Np2SbTe: optimized geometry, PBE.

a = 3.742 Å, b = 3.742 Å, c = 7.497 Å
α = 90.00°, β = 90.00°, γ = 90.00°
Space group P4/mmm (No. 123)
Unique sites:
Np (0.000, 0.000, 0.242)
Sb (0.500, 0.500, 0.000)
Te (0.500, 0.500, 0.500)

- energy relative to the lowest polymorph listed for this composition (kJ per mole of atoms) = 3.1
- electronic total energy (Ry per atom) = -0.6359
- DOS(E_F) (states/eV per atom) = 3.476

---

(14)
NpSb2Te: optimized geometry, PBE.

a = 4.5641 Å, b = 4.5641 Å, c = 26.5039 Å
α = 90.00°, β = 90.00°, γ = 120.00°
Space group R-3m (No. 166, hexagonal axes)
Unique sites:
Np (0.0000, 0.0000, 0.0000)
Sb (0.0000, 0.0000, 0.3927)
Te (0.0000, 0.0000, 0.5000)

- energy relative to the lowest polymorph listed for this composition (kJ per mole of atoms) = 49.2
- electronic total energy (Ry per atom) = -0.4194
- DOS(E_F) (states/eV per atom) = 2.962

---

(15)
Np4SbTe3: optimized geometry, PBE.

a = 7.617 Å, b = 8.804 Å, c = 7.635 Å
α = 90.00°, β = 109.49°, γ = 90.00°
Space group P2/c (No. 13)
Unique sites:
Np (0.248, 0.123, 0.000)
Np (0.249, 0.374, 0.499)
Sb (0.000, 0.126, 0.250)
Te (0.000, 0.375, 0.750)
Te (0.500, 0.125, 0.750)
Te (0.500, 0.375, 0.250)

- electronic total energy (Ry per atom) = -0.6354
- DOS(E_F) (states/eV per atom) = 4.822

---

(16)
NpTl2SbTe4: optimized geometry, PBE.

a = 7.863 Å, b = 4.509 Å, c = 8.445 Å
α = 90.00°, β = 108.00°, γ = 90.00°
Space group P2/m (No. 10)
Unique sites:
Np (0.000, 0.000, 0.000)
Tl (0.000, 0.500, 0.500)
Tl (0.500, 0.000, 0.500)
Sb (0.500, 0.500, 0.000)
Te (0.239, 0.500, 0.214)
Te (0.264, 0.000, 0.786)

- electronic total energy (Ry per atom) = -0.3435
- DOS(E_F) (states/eV per atom) = 1.067

---

(17)
Np3Tl3SbTe8: optimized geometry, PBE.

a = 15.557 Å, b = 8.947 Å, c = 9.640 Å
α = 90.00°, β = 122.73°, γ = 90.00°
Space group C2/m (No. 12)
Unique sites:
Np (0.000, 0.000, 0.000)
Np (0.250, 0.250, 0.000)
Tl (0.000, 0.000, 0.500)
Tl (0.250, 0.250, 0.500)
Sb (0.000, 0.500, 0.000)
Te (0.013, 0.250, 0.788)
Te (0.238, 0.000, 0.212)
Te (0.238, 0.500, 0.213)

- electronic total energy (Ry per atom) = -0.4030
- DOS(E_F) (states/eV per atom) = 1.687

---

(18)
NpTl3Sb2Te6: optimized geometry, PBE.

a = 7.800 Å, b = 13.488 Å, c = 8.463 Å
α = 90.00°, β = 107.85°, γ = 90.00°
Space group C2/m (No. 12)
Unique sites:
Np (0.000, 0.000, 0.000)
Tl (0.000, 0.165, 0.500)
Tl (0.000, 0.500, 0.500)
Sb (0.000, 0.334, 0.000)
Te (0.235, 0.500, 0.214)
Te (0.240, 0.168, 0.216)

- electronic total energy (Ry per atom) = -0.3126
- DOS(E_F) (states/eV per atom) = 0.476

---

(19)
Np3Tl4SbTe8: optimized geometry, PBE.

a = 9.0283 Å, b = 9.0283 Å, c = 24.3226 Å
α = 90.00°, β = 90.00°, γ = 120.00°
Space group R-3m (No. 166, hexagonal axes)
Unique sites:
Np (0.0000, 0.5000, 0.0000)
Tl (0.0000, 0.0000, 0.5000)
Tl (0.0000, 0.5000, 0.5000)
Sb (0.0000, 0.0000, 0.0000)
Te (0.0000, 0.0000, 0.2620)
Te (0.0011, 0.5005, 0.7379)

- electronic total energy (Ry per atom) = -0.3905
- DOS(E_F) (states/eV per atom) = 1.758

---

(20)
Th3NpSb4: optimized geometry, PBE.

a = 6.344 Å, b = 6.344 Å, c = 12.700 Å
α = 90.00°, β = 90.00°, γ = 90.00°
Space group I4/mmm (No. 139)
Unique sites:
Th (0.000, 0.000, 0.000)
Th (0.000, 0.500, 0.250)
Np (0.000, 0.000, 0.500)
Sb (0.000, 0.000, 0.253)
Sb (0.000, 0.500, 0.000)

- electronic total energy (Ry per atom) = -0.5295
- DOS(E_F) (states/eV per atom) = 1.916

---

Number 1: total magnetization 6.007 μB per cell, formation energy from raw total energies -26 meV per atom. Number 2: total magnetization 9.741 μB per cell, formation energy from raw total energies -20 meV per atom. Number 3: total magnetization 6.348 μB per cell, formation energy from raw total energies 166 meV per atom. Number 4: total magnetization 20.455 μB per cell, formation energy from raw total energies 56 meV per atom. Number 5: total magnetization 34.761 μB per cell, formation energy from raw total energies -397 meV per atom. Number 6: total magnetization 4.028 μB per cell, formation energy from raw total energies -229 meV per atom. Number 7: total magnetization 25.874 μB per cell, formation energy from raw total energies -395 meV per atom. Number 8: total magnetization 14.587 μB per cell, formation energy from raw total energies -449 meV per atom. Number 9: total magnetization 16.516 μB per cell, formation energy from raw total energies 366 meV per atom. Number 10: total magnetization 26.841 μB per cell, formation energy from raw total energies -323 meV per atom. Number 11: total magnetization 35.643 μB per cell, formation energy from raw total energies -367 meV per atom. Number 12: total magnetization 4.060 μB per cell, formation energy from raw total energies -134 meV per atom. Number 13: total magnetization 8.909 μB per cell, formation energy from raw total energies -366 meV per atom. Number 14: total magnetization 12.622 μB per cell, formation energy from raw total energies 376 meV per atom. Number 15: total magnetization 35.967 μB per cell, formation energy from raw total energies -482 meV per atom. Number 16: total magnetization 3.990 μB per cell, formation energy from raw total energies -378 meV per atom. Number 17: total magnetization 22.003 μB per cell, formation energy from raw total energies -472 meV per atom. Number 18: total magnetization 8.014 μB per cell, formation energy from raw total energies -325 meV per atom. Number 19: total magnetization 36.009 μB per cell, formation energy from raw total energies -467 meV per atom. Number 20: total magnetization 8.903 μB per cell, formation energy from raw total energies -743 meV per atom.